Record 1
Entry from Alexandria: a relaxed AsSBr2 crystal (GGA-PBE).

The structure in POSCAR format:
```
AsSBr2
1.0
7.0389 0.0000 0.0000
0.0000 7.0389 0.0000
0.0000 0.0000 7.0389
As S Br
4 4 8
Direct
0.0000 0.0000 0.0000 As
0.0000 0.5000 0.5000 As
0.5000 0.0000 0.5000 As
0.5000 0.5000 0.0000 As
0.0000 0.0000 0.5000 S
0.0000 0.5000 0.0000 S
0.5000 0.0000 0.0000 S
0.5000 0.5000 0.5000 S
0.2500 0.2500 0.2500 Br
0.2500 0.2500 0.7500 Br
0.2500 0.7500 0.2500 Br
0.2500 0.7500 0.7500 Br
0.7500 0.2500 0.2500 Br
0.7500 0.2500 0.7500 Br
0.7500 0.7500 0.2500 Br
0.7500 0.7500 0.7500 Br
```

Values from the calculation:
As for the volume: 348.7 Å³ per cell. The uncorrected formation energy comes out at 773 meV per atom. The calculation puts the energy above the most stable polymorph in this dataset at 974 meV per atom. The value obtained for the density of states at the Fermi level is 7.7 states/eV/cell.

=====

Record 2
Entry from Alexandria: a relaxed As3SBr crystal (GGA-PBE).

The structure in POSCAR format:
```
As3SBr
1.0
5.0809 0.0000 0.0000
0.0000 5.0809 0.0000
0.0000 0.0000 5.0809
As S Br
3 1 1
Direct
0.0000 0.0000 0.5000 As
0.0000 0.5000 0.0000 As
0.5000 0.0000 0.0000 As
0.5000 0.5000 0.5000 S
0.0000 0.0000 0.0000 Br
```

Values from the calculation:
As for the volume: 131.2 Å³ per cell. The uncorrected formation energy comes out at 1512 meV per atom. The calculation puts the energy above the most stable polymorph in this dataset at 721 meV per atom. The value obtained for the density of states at the Fermi level is 5.5 states/eV/cell.

=====

Question: Number 1 is which compound?
Answer: AsSBr2

=====

Question: Which value of volume does entry 2 give?
Answer: 131.2 Å³ per cell

=====

Question: Which of these has the lowest volume?
Answer: As3SBr

=====

Question: Which value of volume does entry 1 give?
Answer: 348.7 Å³ per cell